P.
DFT (SCAN) results for MgMnCl2 at its PBEsol-relaxed geometry.

Calculated values
symmetry = Cmm2
size of the total moment = 4.63 μB/f.u.

```
MgMnCl2
1.0
1.8977 -2.6568 0.0000
1.8977 2.6568 0.0000
0.0000 0.0000 8.5955
Mg Mn Cl
1 1 2
Direct
0.0000 0.0000 0.0000 Mg
0.5000 0.5000 0.7377 Mn
0.0000 0.0000 0.5684 Cl
0.5000 0.5000 0.1737 Cl
```

Q.
DFT (SCAN) results for MgMnCl2 at its PBEsol-relaxed geometry.

Calculated values
symmetry = Imm2
size of the total moment = 5.00 μB/f.u.

```
MgMnCl2
1.0
-1.5925 2.9539 4.6841
1.5925 -2.9539 4.6841
1.5925 2.9539 -4.6841
Mg Mn Cl
1 1 2
Direct
0.0000 0.0000 0.0000 Mg
0.2611 0.7611 0.5000 Mn
0.4597 0.4597 0.0000 Cl
0.8002 0.3002 0.5000 Cl
```

The least stable of the structures above is Q, whereas P is the most stable.